(1)
# Sr2DyCd12Au3

An optimized crystal structure of Sr2DyCd12Au3 (PBE-GGA, Alexandria).

Values from the calculation:
calculated volume	537.9	Å³/f.u.
magnetic moment	0.00	μB/cell
formation energy	-0.01	eV per atom

The structure in CIF format:
```
data_Sr2DyCd12Au3
_cell_length_a 8.4169
_cell_length_b 8.4169
_cell_length_c 26.3007
_cell_angle_alpha 90.00
_cell_angle_beta 90.00
_cell_angle_gamma 120.00
_space_group_name_H-M_alt 'R -3 m'
_space_group_IT_number 166
_space_group_name_Hall '-R 3 2"'
loop_
_atom_site_label
_atom_site_type_symbol
_atom_site_fract_x
_atom_site_fract_y
_atom_site_fract_z
Sr1 Sr 0.0000 0.0000 0.1137
Dy1 Dy 0.0000 0.0000 0.5000
Cd1 Cd 0.0788 0.5394 0.2704
Cd2 Cd 0.0932 0.5466 0.8895
Au1 Au 0.0000 0.5000 0.0000
```

***

(2)
# TbDyCdAu

An optimized crystal structure of TbDyCdAu (PBE-GGA, Alexandria).

Values from the calculation:
calculated volume	99.3	Å³/f.u.
magnetic moment	0.00	μB/cell
formation energy	-0.59	eV per atom
excess energy over the best structure of this formula in the dataset	0.0	meV/atom

The structure in CIF format:
```
data_TbDyCdAu
_cell_length_a 3.682
_cell_length_b 3.682
_cell_length_c 7.321
_cell_angle_alpha 90.00
_cell_angle_beta 90.00
_cell_angle_gamma 90.00
_space_group_name_H-M_alt 'P 4 m m'
_space_group_IT_number 99
_space_group_name_Hall 'P 4 -2'
loop_
_atom_site_label
_atom_site_type_symbol
_atom_site_fract_x
_atom_site_fract_y
_atom_site_fract_z
Tb1 Tb 0.000 0.000 0.000
Dy1 Dy 0.000 0.000 0.527
Cd1 Cd 0.500 0.500 0.265
Au1 Au 0.500 0.500 0.760
```